# BaMnO3

A relaxed structure of BaMnO3 (PBE with a Hubbard U, the Alexandria database).

Lattice parameters (Å, degrees): 5.7443 5.7443 9.4223 90.00 90.00 120.00
Last column: nearest neighbours and their distance in Å.
Fractional positions:
Mn1 0.6666 0.3334 0.8881  6 O 1.95-1.97
Mn2 0.6667 0.3332 0.6119  6 O 1.95-1.97
Mn3 0.3334 0.6666 0.3881  6 O 1.95-1.97
Mn4 0.3333 0.6668 0.1119  6 O 1.95-1.97
Ba1 0.6667 0.3333 0.2500  12 O 2.88
Ba2 0.9999 0.0001 0.9999  12 O 2.87-3.01
Ba3 0.3333 0.6667 0.7500  12 O 2.88
Ba4 0.0001 0.9999 0.4999  12 O 2.87-3.01
O1 0.6248 0.8124 0.2500  2 Mn 1.95
O2 0.8124 0.1876 0.7501  2 Mn 1.95
O3 0.1876 0.3752 0.2499  2 Mn 1.95
O4 0.1876 0.8124 0.2501  2 Mn 1.95
O5 0.3752 0.1876 0.7500  2 Mn 1.95
O6 0.0001 0.4997 0.5001  2 Mn 1.97
O7 0.9999 0.5003 0.0001  2 Mn 1.97
O8 0.5001 0.4997 0.4999  2 Mn 1.96-1.97
O9 0.4999 0.5003 0.9999  2 Mn 1.96-1.97
O10 0.8124 0.6248 0.7499  2 Mn 1.95
O11 0.5001 0.9997 0.5001  2 Mn 1.96-1.97
O12 0.4999 0.0003 0.0001  2 Mn 1.96-1.97

The calculation puts the magnetization at 3.000 μB per formula unit. Its calculated total energy is -6.88 eV per atom. As for the space group: No. 194. The value obtained for the density of states at the Fermi level is 0.0 states/eV/cell.